# 1
A plane-wave DFT calculation with GGA-PBE was carried out for a geometry-optimized Sc2TcPbI structure.

Unit cell a=5.135 b=5.135 c=5.294 alpha=90.00 beta=90.00 gamma=90.00
Space group P4/mmm (No. 123)
Inequivalent atoms, fractional coordinates:
1 Sc 0.000 0.500 0.000 [2 per cell]
2 Tc 0.000 0.000 0.000 [1 per cell]
3 Pb 0.000 0.000 0.500 [1 per cell]
4 I 0.500 0.500 0.500 [1 per cell]

Raw formation energy: 0.05 eV per atom
Crystal system: tetragonal
Size of the total moment: 0.000 μB/atom


# 2
A plane-wave DFT calculation with GGA-PBE was carried out for a geometry-optimized SrAsPt2 structure.

Unit cell a=9.068 b=3.996 c=5.328 alpha=90.00 beta=108.20 gamma=90.00
Space group Cm (No. 8)
Inequivalent atoms, fractional coordinates:
1 Sr 0.000 0.000 0.000 [2 per cell]
2 As 0.214 0.000 0.602 [2 per cell]
3 Pt 0.000 0.500 0.475 [2 per cell]
4 Pt 0.288 0.500 0.404 [2 per cell]

Crystal system: monoclinic
Calculated formation energy: -0.7192 eV per atom
Size of the total moment: 0.000 μB/atom


> Which value of size of the total moment does entry 1 give?

0.000 μB/atom